# ZrTaZn

ZrTaZn after structural relaxation (GGA-PBEsol, Alexandria).

a b c (Å): 2.8514 2.8514 12.9947
angles (deg): 90.00 90.00 90.00
Last column: nearest neighbours and their distance in Å.
Space group I4mm (No. 107)
Symmetry-distinct sites (fractional):
Zr 0.0000 0.0000 0.0000 [2 per cell]  4 Zr 2.85, 4 Zn 2.95, 4 Ta 3.10
Ta 0.0000 0.0000 0.6815 [2 per cell]  4 Zn 2.83, 4 Ta 2.85, 4 Zr 3.10
Zn 0.0000 0.0000 0.3341 [2 per cell]  4 Ta 2.83, 4 Zn 2.85, 4 Zr 2.95

Calculated values
spin magnetization = 0.0 μB per cell
total energy = -7.7658 eV per atom
polymorph energy (0 for the lowest one) = 0 meV/atom